# Cs2CrCuCl6 | Alexandria | PBE | optimized geometry
# Energy = -79.90 eV for the cell shown
# Density = 3.595 Mg/m³
# Magnetization = 2.9 μB per formula unit
data_Cs2CrCuCl6
_cell_length_a 7.506
_cell_length_b 8.900
_cell_length_c 8.215
_cell_angle_alpha 90.00
_cell_angle_beta 90.00
_cell_angle_gamma 90.00
_symmetry_space_group_name_H-M 'I m m 2'
_symmetry_Int_Tables_number 44
loop_
_symmetry_equiv_pos_as_xyz
'x,y,z'
'-x,-y,z'
'-x,y,z'
'x,-y,z'
'x+1/2,y+1/2,z+1/2'
'-x+1/2,-y+1/2,z+1/2'
'-x+1/2,y+1/2,z+1/2'
'x+1/2,-y+1/2,z+1/2'
loop_
_atom_site_label
_atom_site_type_symbol
_atom_site_fract_x
_atom_site_fract_y
_atom_site_fract_z
_atom_site_occupancy
Cs1 Cs 0.000 0.239 0.000 1
Cr1 Cr 0.000 0.000 0.497 1
Cu1 Cu 0.000 0.500 0.616 1
Cl1 Cl 0.000 0.274 0.480 1
Cl2 Cl 0.219 0.000 0.694 1
Cl3 Cl 0.230 0.000 0.279 1



# CsCr2CuCl8 | Alexandria | PBE | optimized geometry
# Energy = -51.77 eV for the cell shown
# Density = 2.911 Mg/m³
# Magnetization = 6.0 μB per formula unit
data_CsCr2CuCl8
_cell_length_a 6.463
_cell_length_b 7.201
_cell_length_c 8.312
_cell_angle_alpha 105.28
_cell_angle_beta 106.62
_cell_angle_gamma 105.11
_symmetry_space_group_name_H-M 'P -1'
_symmetry_Int_Tables_number 2
loop_
_symmetry_equiv_pos_as_xyz
'x,y,z'
'-x,-y,-z'
loop_
_atom_site_label
_atom_site_type_symbol
_atom_site_fract_x
_atom_site_fract_y
_atom_site_fract_z
_atom_site_occupancy
Cs1 Cs 0.000 0.000 0.000 1
Cr1 Cr 0.463 0.739 0.492 1
Cu1 Cu 0.000 0.500 0.000 1
Cl1 Cl 0.230 0.944 0.438 1
Cl2 Cl 0.231 0.393 0.442 1
Cl3 Cl 0.362 0.613 0.161 1
Cl4 Cl 0.448 0.822 0.771 1



# CsDyCr2Cl8 | Alexandria | PBE | optimized geometry
# Energy = -57.89 eV for the cell shown
# Density = 3.084 Mg/m³
# Magnetization = 8.0 μB per formula unit
data_CsDyCr2Cl8
_cell_length_a 6.794
_cell_length_b 6.888
_cell_length_c 9.185
_cell_angle_alpha 109.41
_cell_angle_beta 94.77
_cell_angle_gamma 111.18
_symmetry_space_group_name_H-M 'P -1'
_symmetry_Int_Tables_number 2
loop_
_symmetry_equiv_pos_as_xyz
'x,y,z'
'-x,-y,-z'
loop_
_atom_site_label
_atom_site_type_symbol
_atom_site_fract_x
_atom_site_fract_y
_atom_site_fract_z
_atom_site_occupancy
Cs1 Cs 0.000 0.000 0.000 1
Dy1 Dy 0.000 0.500 0.500 1
Cr1 Cr 0.429 0.318 0.794 1
Cl1 Cl 0.173 0.554 0.261 1
Cl2 Cl 0.263 0.312 0.555 1
Cl3 Cl 0.297 0.913 0.690 1
Cl4 Cl 0.443 0.678 0.953 1



# CsDyCrCl6 | Alexandria | PBE | optimized geometry
# Energy = -84.76 eV for the cell shown
# Density = 2.966 Mg/m³
# Magnetization = 4.0 μB per formula unit
data_CsDyCrCl6
_cell_length_a 7.032
_cell_length_b 11.395
_cell_length_c 7.842
_cell_angle_alpha 90.00
_cell_angle_beta 93.49
_cell_angle_gamma 90.00
_symmetry_space_group_name_H-M 'C 1 2 1'
_symmetry_Int_Tables_number 5
loop_
_symmetry_equiv_pos_as_xyz
'x,y,z'
'-x,y,-z'
'x+1/2,y+1/2,z'
'-x+1/2,y+1/2,-z'
loop_
_atom_site_label
_atom_site_type_symbol
_atom_site_fract_x
_atom_site_fract_y
_atom_site_fract_z
_atom_site_occupancy
Cs1 Cs 0.000 0.000 0.000 1
Dy1 Dy 0.000 0.342 0.500 1
Cr1 Cr 0.000 0.683 0.500 1
Cl1 Cl 0.122 0.531 0.686 1
Cl2 Cl 0.177 0.829 0.667 1
Cl3 Cl 0.182 0.210 0.722 1



# CsErCrCl6 | Alexandria | PBE | optimized geometry
# Energy = -42.34 eV for the cell shown
# Density = 3.016 Mg/m³
# Magnetization = 4.0 μB per formula unit
data_CsErCrCl6
_cell_length_a 6.664
_cell_length_b 6.669
_cell_length_c 7.848
_cell_angle_alpha 91.70
_cell_angle_beta 91.82
_cell_angle_gamma 116.75
_symmetry_space_group_name_H-M 'P 1'
_symmetry_Int_Tables_number 1
loop_
_symmetry_equiv_pos_as_xyz
'x,y,z'
loop_
_atom_site_label
_atom_site_type_symbol
_atom_site_fract_x
_atom_site_fract_y
_atom_site_fract_z
_atom_site_occupancy
Cs1 Cs 0.000 0.000 0.000 1
Er1 Er 0.657 0.342 0.500 1
Cr1 Cr 0.317 0.682 0.500 1
Cl1 Cl 0.349 0.408 0.314 1
Cl2 Cl 0.350 0.007 0.667 1
Cl3 Cl 0.592 0.649 0.686 1
Cl4 Cl 0.611 0.030 0.280 1
Cl5 Cl 0.970 0.388 0.718 1
Cl6 Cl 0.992 0.650 0.333 1



# CsEr2CrCl8 | Alexandria | PBE | optimized geometry
# Energy = -164.18 eV for the cell shown
# Density = 3.843 Mg/m³
# Magnetization = 0.9 μB per formula unit
data_CsEr2CrCl8
_cell_length_a 6.6979
_cell_length_b 6.6979
_cell_length_c 26.7953
_cell_angle_alpha 90.00
_cell_angle_beta 90.00
_cell_angle_gamma 120.00
_symmetry_space_group_name_H-M 'R -3'
_symmetry_Int_Tables_number 148
_symmetry_space_group_name_Hall '-R 3'
loop_
_atom_site_label
_atom_site_type_symbol
_atom_site_fract_x
_atom_site_fract_y
_atom_site_fract_z
_atom_site_occupancy
Cs1 Cs 0.0000 0.0000 0.0000 1
Er1 Er 0.0000 0.0000 0.1969 1
Cr1 Cr 0.0000 0.0000 0.5000 1
Cl1 Cl 0.0000 0.0000 0.2918 1
Cl2 Cl 0.0178 0.4056 0.7883 1



> The highest energy belongs to which entry?

CsErCrCl6



> What is the energy in the second record?

-51.77 eV for the cell shown



Repeat the sixth record exactly.
# CsEr2CrCl8 | Alexandria | PBE | optimized geometry
# Energy = -164.18 eV for the cell shown
# Density = 3.843 Mg/m³
# Magnetization = 0.9 μB per formula unit
data_CsEr2CrCl8
_cell_length_a 6.6979
_cell_length_b 6.6979
_cell_length_c 26.7953
_cell_angle_alpha 90.00
_cell_angle_beta 90.00
_cell_angle_gamma 120.00
_symmetry_space_group_name_H-M 'R -3'
_symmetry_Int_Tables_number 148
_symmetry_space_group_name_Hall '-R 3'
loop_
_atom_site_label
_atom_site_type_symbol
_atom_site_fract_x
_atom_site_fract_y
_atom_site_fract_z
_atom_site_occupancy
Cs1 Cs 0.0000 0.0000 0.0000 1
Er1 Er 0.0000 0.0000 0.1969 1
Cr1 Cr 0.0000 0.0000 0.5000 1
Cl1 Cl 0.0000 0.0000 0.2918 1
Cl2 Cl 0.0178 0.4056 0.7883 1



Please write out number 4 again, unchanged.
# CsDyCrCl6 | Alexandria | PBE | optimized geometry
# Energy = -84.76 eV for the cell shown
# Density = 2.966 Mg/m³
# Magnetization = 4.0 μB per formula unit
data_CsDyCrCl6
_cell_length_a 7.032
_cell_length_b 11.395
_cell_length_c 7.842
_cell_angle_alpha 90.00
_cell_angle_beta 93.49
_cell_angle_gamma 90.00
_symmetry_space_group_name_H-M 'C 1 2 1'
_symmetry_Int_Tables_number 5
loop_
_symmetry_equiv_pos_as_xyz
'x,y,z'
'-x,y,-z'
'x+1/2,y+1/2,z'
'-x+1/2,y+1/2,-z'
loop_
_atom_site_label
_atom_site_type_symbol
_atom_site_fract_x
_atom_site_fract_y
_atom_site_fract_z
_atom_site_occupancy
Cs1 Cs 0.000 0.000 0.000 1
Dy1 Dy 0.000 0.342 0.500 1
Cr1 Cr 0.000 0.683 0.500 1
Cl1 Cl 0.122 0.531 0.686 1
Cl2 Cl 0.177 0.829 0.667 1
Cl3 Cl 0.182 0.210 0.722 1